A plane-wave DFT calculation with PBE was carried out for YSc3Tl2 after structural relaxation.

Geometry as POSCAR:
```
YSc3Tl2
1.0
-2.431 -2.787 3.534
1.789 -5.366 -6.705
5.922 2.484 6.034
Sc Tl Y
6 4 2
Cartesian
2.909 -1.226 4.737
3.840 -2.584 0.603
2.371 -4.443 -1.874
2.460 0.222 1.867
1.440 -3.085 2.260
2.820 -5.891 0.996
0.033 -4.785 -0.049
3.814 0.553 6.763
1.467 -6.223 -3.900
5.247 -0.884 2.912
0.731 -1.536 -0.709
4.550 -4.133 3.572
```

Summary:
Offset from the most stable computed form   0.0952 eV per atom
DOS(E_F)   15.83 states/eV per cell
Formation energy   -0.159 eV/atom